(1)
! PBEsol Tb3Ge13Rh4, optimized geometry; values from VASP
! Energy   -247.920 eV for the cell shown
! Calculated volume   17.6 Å³ per atom
&SYSTEM
  ibrav = 0, nat = 40, ntyp = 3
/
ATOMIC_SPECIES
Tb 158.93 Tb.upf
Ge 72.64 Ge.upf
Rh 102.91 Rh.upf
ATOMIC_POSITIONS angstrom
Tb 0.0000 2.2233 4.4467
Tb 0.0000 6.6700 4.4467
Tb 2.2233 4.4467 0.0000
Tb 4.4467 0.0000 2.2233
Tb 4.4467 0.0000 6.6700
Tb 6.6700 4.4467 0.0000
Ge 0.0000 0.0000 0.0000
Ge 0.0000 2.7490 1.3062
Ge 0.0000 2.7490 7.5871
Ge 0.0000 6.1443 1.3062
Ge 0.0000 6.1443 7.5871
Ge 1.3062 0.0000 2.7490
Ge 1.3062 0.0000 6.1443
Ge 1.6976 4.4467 3.1405
Ge 1.6976 4.4467 5.7528
Ge 2.7490 1.3062 0.0000
Ge 2.7490 7.5871 0.0000
Ge 3.1405 1.6976 4.4467
Ge 3.1405 7.1957 4.4467
Ge 4.4467 3.1405 1.6976
Ge 4.4467 3.1405 7.1957
Ge 4.4467 4.4467 4.4467
Ge 4.4467 5.7528 1.6976
Ge 4.4467 5.7528 7.1957
Ge 5.7528 1.6976 4.4467
Ge 5.7528 7.1957 4.4467
Ge 6.1443 1.3062 0.0000
Ge 6.1443 7.5871 0.0000
Ge 7.1957 4.4467 3.1405
Ge 7.1957 4.4467 5.7528
Ge 7.5871 0.0000 2.7490
Ge 7.5871 0.0000 6.1443
Rh 2.2233 2.2233 2.2233
Rh 2.2233 2.2233 6.6700
Rh 2.2233 6.6700 2.2233
Rh 2.2233 6.6700 6.6700
Rh 6.6700 2.2233 2.2233
Rh 6.6700 2.2233 6.6700
Rh 6.6700 6.6700 2.2233
Rh 6.6700 6.6700 6.6700
CELL_PARAMETERS angstrom
8.8933 0.0000 0.0000
0.0000 8.8933 0.0000
0.0000 0.0000 8.8933

***

(2)
! PBEsol Tb3Ge2Rh2, optimized geometry; values from VASP
! Energy   -191.137 eV for the cell shown
! Calculated volume   19.9 Å³ per atom
&SYSTEM
  ibrav = 0, nat = 28, ntyp = 3
/
ATOMIC_SPECIES
Tb 158.93 Tb.upf
Ge 72.64 Ge.upf
Rh 102.91 Rh.upf
ATOMIC_POSITIONS angstrom
Tb 0.7228 1.8548 3.2766
Tb 0.7228 2.0037 9.8298
Tb 1.9590 4.6631 1.3068
Tb 1.9590 4.6631 5.2464
Tb 1.9590 6.9123 7.8600
Tb 1.9590 6.9123 11.7996
Tb 3.5612 0.8046 1.3068
Tb 3.5612 0.8046 5.2464
Tb 3.5612 3.0539 7.8600
Tb 3.5612 3.0539 11.7996
Tb 4.7974 5.7133 3.2766
Tb 4.7974 5.8622 9.8298
Ge 0.9014 1.9292 0.0000
Ge 0.9014 1.9292 6.5532
Ge 2.0403 4.7194 9.8298
Ge 2.0403 6.8560 3.2766
Ge 3.4799 0.8609 9.8298
Ge 3.4799 2.9975 3.2766
Ge 4.6188 5.7877 0.0000
Ge 4.6188 5.7877 6.5532
Rh 0.6923 4.1879 7.7614
Rh 0.6923 4.1879 11.8982
Rh 0.6923 7.3875 1.2082
Rh 0.6923 7.3875 5.3450
Rh 4.8280 0.3295 7.7614
Rh 4.8280 0.3295 11.8982
Rh 4.8280 3.5290 1.2082
Rh 4.8280 3.5290 5.3450
CELL_PARAMETERS angstrom
5.5202 0.0000 0.0000
0.0000 7.7169 0.0000
0.0000 0.0000 13.1064

***

(3)
! PBEsol Tb5Ge10Rh4, optimized geometry; values from VASP
! Energy   -247.027 eV for the cell shown
! Calculated volume   18.6 Å³ per atom
&SYSTEM
  ibrav = 0, nat = 38, ntyp = 3
/
ATOMIC_SPECIES
Tb 158.93 Tb.upf
Ge 72.64 Ge.upf
Rh 102.91 Rh.upf
ATOMIC_POSITIONS angstrom
Tb 0.0000 0.0000 0.0000
Tb 1.4547 4.9814 2.1308
Tb 2.2543 8.6904 2.1308
Tb 4.1818 2.2543 2.1308
Tb 4.9814 11.4175 2.1308
Tb 6.4361 6.4361 0.0000
Tb 7.8908 1.4547 2.1308
Tb 8.6904 10.6179 2.1308
Tb 10.6179 4.1818 2.1308
Tb 11.4175 7.8908 2.1308
Ge 0.0098 10.8252 2.1308
Ge 0.8641 7.3002 0.0000
Ge 2.0470 0.0098 2.1308
Ge 2.0790 2.5683 0.0000
Ge 2.5683 10.7932 0.0000
Ge 3.8678 4.3571 0.0000
Ge 4.3571 9.0044 0.0000
Ge 4.3891 6.4459 2.1308
Ge 5.5720 0.8641 0.0000
Ge 6.4263 4.3891 2.1308
Ge 6.4459 8.4831 2.1308
Ge 7.3002 12.0082 0.0000
Ge 8.4831 6.4263 2.1308
Ge 8.5151 3.8678 0.0000
Ge 9.0044 8.5151 0.0000
Ge 10.3039 2.0790 0.0000
Ge 10.7932 10.3039 0.0000
Ge 10.8252 12.8624 2.1308
Ge 12.0082 5.5720 0.0000
Ge 12.8624 2.0470 2.1308
Rh 0.2733 9.7085 0.0000
Rh 3.1637 0.2733 0.0000
Rh 3.2724 6.7094 0.0000
Rh 6.1629 3.2724 0.0000
Rh 6.7094 9.5998 0.0000
Rh 9.5998 6.1629 0.0000
Rh 9.7085 12.5990 0.0000
Rh 12.5990 3.1637 0.0000
CELL_PARAMETERS angstrom
12.8722 0.0000 0.0000
0.0000 12.8722 0.0000
0.0000 0.0000 4.2616

***

(4)
! PBEsol TcGe2Rh, optimized geometry; values from VASP
! Energy   -30.569 eV for the cell shown
! Calculated volume   13.7 Å³ per atom
&SYSTEM
  ibrav = 0, nat = 4, ntyp = 3
/
ATOMIC_SPECIES
Tc 98.00 Tc.upf
Ge 72.64 Ge.upf
Rh 102.91 Rh.upf
ATOMIC_POSITIONS angstrom
Tc 0.0000 0.0000 0.0000
Ge 1.5091 1.5091 1.5091
Ge 4.5273 4.5273 4.5273
Rh 3.0182 3.0182 3.0182
CELL_PARAMETERS angstrom
0.0000 3.0182 3.0182
3.0182 0.0000 3.0182
3.0182 3.0182 0.0000

***

(5)
! PBEsol TcGeRh3, optimized geometry; values from VASP
! Energy   -34.194 eV for the cell shown
! Calculated volume   19.2 Å³ per atom
&SYSTEM
  ibrav = 0, nat = 5, ntyp = 3
/
ATOMIC_SPECIES
Tc 98.00 Tc.upf
Ge 72.64 Ge.upf
Rh 102.91 Rh.upf
ATOMIC_POSITIONS angstrom
Tc 0.0000 0.0000 0.0000
Ge 2.2893 2.2893 2.2893
Rh 0.0000 0.0000 2.2893
Rh 0.0000 2.2893 0.0000
Rh 2.2893 0.0000 0.0000
CELL_PARAMETERS angstrom
4.5786 0.0000 0.0000
0.0000 4.5786 0.0000
0.0000 0.0000 4.5786

***

(6)
! PBEsol Ti2Ge2Rh, optimized geometry; values from VASP
! Energy   -76.598 eV for the cell shown
! Calculated volume   15.2 Å³ per atom
&SYSTEM
  ibrav = 0, nat = 10, ntyp = 3
/
ATOMIC_SPECIES
Ti 47.87 Ti.upf
Ge 72.64 Ge.upf
Rh 102.91 Rh.upf
ATOMIC_POSITIONS angstrom
Ti 1.0231 2.1113 0.0000
Ti 2.1113 5.2457 0.0000
Ti 4.1576 1.0231 0.0000
Ti 5.2457 4.1576 0.0000
Ge 0.8811 4.0156 1.9292
Ge 2.2533 0.8811 1.9292
Ge 4.0156 5.3877 1.9292
Ge 5.3877 2.2533 1.9292
Rh 0.0000 0.0000 1.9292
Rh 3.1344 3.1344 1.9292
CELL_PARAMETERS angstrom
6.2689 0.0000 0.0000
0.0000 6.2689 0.0000
0.0000 0.0000 3.8584

***

(7)
! PBEsol TlGe2Rh2, optimized geometry; values from VASP
! Energy   -30.025 eV for the cell shown
! Calculated volume   17.8 Å³ per atom
&SYSTEM
  ibrav = 0, nat = 5, ntyp = 3
/
ATOMIC_SPECIES
Tl 204.38 Tl.upf
Ge 72.64 Ge.upf
Rh 102.91 Rh.upf
ATOMIC_POSITIONS angstrom
Tl 0.0000 0.0000 0.0000
Ge 0.0000 0.0000 3.6423
Ge 0.0000 0.0000 6.1640
Rh 2.1291 0.0000 2.4516
Rh 0.0000 2.1291 2.4516
CELL_PARAMETERS angstrom
-2.1291 2.1291 4.9032
2.1291 -2.1291 4.9032
2.1291 2.1291 -4.9032

***

(8)
! PBEsol TlGe3Rh, optimized geometry; values from VASP
! Energy   -17.552 eV for the cell shown
! Calculated volume   26.2 Å³ per atom
&SYSTEM
  ibrav = 0, nat = 5, ntyp = 3
/
ATOMIC_SPECIES
Tl 204.38 Tl.upf
Ge 72.64 Ge.upf
Rh 102.91 Rh.upf
ATOMIC_POSITIONS angstrom
Tl 0.0000 0.0000 0.0000
Ge 0.0000 0.0000 2.5393
Ge 0.0000 2.5393 0.0000
Ge 2.5393 0.0000 0.0000
Rh 2.5393 2.5393 2.5393
CELL_PARAMETERS angstrom
5.0787 0.0000 0.0000
0.0000 5.0787 0.0000
0.0000 0.0000 5.0787

***

Among the records above, which one has the lowest energy? Tb3Ge13Rh4